# 1
Eu2LuTh (PBE, relaxed); theoretical density = 8.62 Mg/m³; N(E_F) = 1.439 states/eV/atom; total energy = -31.9 eV for the cell shown; formation energy = 0.15 eV per atom
1.0
3.6151 0.0000 0.0000
1.8076 3.1308 0.0000
1.8076 1.0436 12.1055
Th Eu Lu
1 2 1
Direct
0.0000 0.0000 0.0000
0.7503 0.7503 0.7491
0.2497 0.2497 0.2509
0.5000 0.5000 0.5000

---

# 2
EuLuTh2 (PBE, relaxed); theoretical density = 10.04 Mg/m³; N(E_F) = 1.257 states/eV/atom; total energy = -28.8 eV for the cell shown; energy relative to the lowest polymorph listed for this composition = 66 meV/atom; formation energy = 0.21 eV per atom
1.0
-1.6330 2.9934 -2.3548
0.3628 -2.4282 -3.3383
-6.9684 -2.7969 1.2771
Lu Th Eu
1 2 1
Direct
0.5000 0.5000 0.0000
0.0000 0.0000 0.2315
0.0000 0.0000 0.7685
0.5000 0.5000 0.5000

---

# 3
EuLuTh2 (PBE, relaxed); theoretical density = 10.14 Mg/m³; N(E_F) = 1.230 states/eV/atom; total energy = -29.1 eV for the cell shown; energy relative to the lowest polymorph listed for this composition = 0 meV/atom; formation energy = 0.15 eV per atom
1.0
-2.0302 -0.9550 4.5046
4.1812 -2.5392 1.3461
2.0175 4.2857 1.8178
Lu Eu Th
1 1 2
Direct
0.5000 0.5000 0.5000
0.5000 0.0000 0.0000
0.0000 0.5000 0.0000
0.0000 0.0000 0.5000

---

# 4
EuYLuTh (PBE, relaxed); theoretical density = 8.13 Mg/m³; N(E_F) = 1.739 states/eV/atom; total energy = -27.8 eV for the cell shown; formation energy = 0.21 eV per atom
1.0
5.7188 0.0000 0.0000
2.8594 4.9527 0.0000
2.8594 1.6509 4.6694
Y Th Eu Lu
1 1 1 1
Direct
0.7500 0.7500 0.7500
0.2500 0.2500 0.2500
0.5000 0.5000 0.5000
0.0000 0.0000 0.0000